Entry 1:
! Cr3Ir4W GGA-PBE optimized geometry; values from VASP
&SYSTEM
  ibrav = 0, nat = 8, ntyp = 3
/
ATOMIC_SPECIES
Cr 52.00 Cr.upf
Ir 192.22 Ir.upf
W 183.84 W.upf
CELL_PARAMETERS angstrom
3.690 0.000 -0.996
-0.264 3.686 -0.977
0.177 0.147 7.988
ATOMIC_POSITIONS crystal
Cr 0.751 0.251 0.502
Cr 0.000 0.500 0.000
Cr 0.249 0.749 0.498
Ir 0.370 0.370 0.741
Ir 0.870 0.870 0.741
Ir 0.630 0.630 0.259
Ir 0.130 0.130 0.259
W 0.500 0.000 0.000
! * calculated formation energy: -0.21 eV per atom
! * space-group type: No. 139
! * DOS at the Fermi energy: 6.35 states/eV/f.u.



Entry 2:
! Na2Mg5Hg12 GGA-PBE optimized geometry; values from VASP
&SYSTEM
  ibrav = 0, nat = 19, ntyp = 3
/
ATOMIC_SPECIES
Hg 200.59 Hg.upf
Na 22.99 Na.upf
Mg 24.30 Mg.upf
CELL_PARAMETERS angstrom
6.912 0.000 0.000
-3.456 9.426 0.286
0.000 -3.157 7.163
ATOMIC_POSITIONS crystal
Hg 0.532 0.064 0.720
Hg 0.914 0.387 0.171
Hg 0.126 0.252 0.846
Na 0.762 0.000 0.000
Hg 0.874 0.748 0.154
Mg 0.307 0.615 0.150
Na 0.238 0.000 0.000
Hg 0.142 0.768 0.533
Hg 0.374 0.232 0.467
Hg 0.528 0.613 0.829
Hg 0.468 0.936 0.280
Mg 0.000 0.000 0.500
Mg 0.759 0.518 0.519
Hg 0.472 0.387 0.171
Hg 0.626 0.768 0.533
Mg 0.241 0.482 0.481
Mg 0.693 0.385 0.850
Hg 0.858 0.232 0.467
Hg 0.086 0.613 0.829
! * calculated formation energy: -0.12 eV per atom
! * space-group type: No. 12
! * DOS at the Fermi energy: 6.57 states/eV/f.u.



Entry 3:
! Sr2MgAg3Bi4 GGA-PBE optimized geometry; values from VASP
&SYSTEM
  ibrav = 0, nat = 10, ntyp = 4
/
ATOMIC_SPECIES
Bi 208.98 Bi.upf
Mg 24.30 Mg.upf
Ag 107.87 Ag.upf
Sr 87.62 Sr.upf
CELL_PARAMETERS angstrom
-3.064 -0.562 -3.748
-3.221 -2.154 2.956
-5.121 11.119 2.520
ATOMIC_POSITIONS crystal
Bi 0.500 0.000 0.639
Mg 0.500 0.500 0.500
Ag 0.500 0.000 0.862
Bi 0.500 0.500 0.000
Bi 0.000 0.500 0.361
Sr 0.000 0.500 0.758
Sr 0.500 0.000 0.242
Bi 0.000 0.000 0.000
Ag 0.000 0.000 0.500
Ag 0.000 0.500 0.138
! * calculated formation energy: -0.39 eV per atom
! * space-group type: No. 115
! * DOS at the Fermi energy: 3.73 states/eV/f.u.



Entry 4:
! CsScH3 GGA-PBE optimized geometry; values from VASP
&SYSTEM
  ibrav = 0, nat = 5, ntyp = 3
/
ATOMIC_SPECIES
H 1.01 H.upf
Cs 132.91 Cs.upf
Sc 44.96 Sc.upf
CELL_PARAMETERS angstrom
4.965 0.000 0.000
0.000 4.965 0.000
0.000 0.000 4.965
ATOMIC_POSITIONS crystal
H 0.000 0.000 0.500
H 0.000 0.500 0.000
H 0.500 0.000 0.000
Cs 0.000 0.000 0.000
Sc 0.500 0.500 0.500
! * space-group type: No. 221
! * offset from the most stable computed form: 1349 meV/atom
! * DOS at the Fermi energy: 1.91 states/eV/f.u.



Entry 5:
! LaIrSN2 GGA-PBE optimized geometry; values from VASP
&SYSTEM
  ibrav = 0, nat = 5, ntyp = 4
/
ATOMIC_SPECIES
Ir 192.22 Ir.upf
N 14.01 N.upf
La 138.91 La.upf
S 32.06 S.upf
CELL_PARAMETERS angstrom
4.204 0.000 0.000
0.000 4.340 0.000
0.000 0.000 4.204
ATOMIC_POSITIONS crystal
Ir 0.000 0.500 0.000
N 0.000 0.000 0.500
La 0.500 0.500 0.500
S 0.000 0.000 0.000
N 0.500 0.000 0.000
! * space-group type: No. 123
! * offset from the most stable computed form: 941 meV/atom
! * DOS at the Fermi energy: 3.19 states/eV/f.u.
! * E_form (uncorrected): 3.7 eV per formula unit



Entry 6:
! Ca2ZnGa6Ag GGA-PBE optimized geometry; values from VASP
&SYSTEM
  ibrav = 0, nat = 20, ntyp = 4
/
ATOMIC_SPECIES
Ga 69.72 Ga.upf
Ag 107.87 Ag.upf
Ca 40.08 Ca.upf
Zn 65.41 Zn.upf
CELL_PARAMETERS angstrom
6.454 0.000 0.000
3.227 5.589 0.000
3.227 1.863 12.317
ATOMIC_POSITIONS crystal
Ga 0.350 0.350 0.356
Ga 0.196 0.196 0.825
Ga 0.650 0.650 0.644
Ag 0.000 0.000 0.000
Ca 0.306 0.306 0.082
Ga 0.650 0.055 0.644
Ca 0.694 0.694 0.918
Ga 0.196 0.784 0.825
Ca 0.861 0.861 0.416
Zn 0.420 0.420 0.739
Ga 0.804 0.804 0.175
Zn 0.580 0.580 0.261
Ag 0.500 0.500 0.500
Ga 0.216 0.804 0.175
Ga 0.055 0.650 0.644
Ca 0.139 0.139 0.584
Ga 0.945 0.350 0.356
Ga 0.784 0.196 0.825
Ga 0.804 0.216 0.175
Ga 0.350 0.945 0.356
! * calculated formation energy: -0.15 eV per atom
! * space-group type: No. 166
! * DOS at the Fermi energy: 4.69 states/eV/f.u.



Entry 7:
! ReNi3Pt4 GGA-PBE optimized geometry; values from VASP
&SYSTEM
  ibrav = 0, nat = 16, ntyp = 3
/
ATOMIC_SPECIES
Ni 58.69 Ni.upf
Pt 195.08 Pt.upf
Re 186.21 Re.upf
CELL_PARAMETERS angstrom
4.658 0.000 0.000
0.000 5.412 0.000
0.000 0.000 8.814
ATOMIC_POSITIONS crystal
Ni 0.000 0.000 0.500
Pt 0.151 0.246 0.750
Ni 0.343 0.000 0.250
Pt 0.151 0.754 0.750
Ni 0.328 0.500 0.250
Ni 0.000 0.000 0.000
Pt 0.500 0.249 0.500
Pt 0.500 0.751 0.000
Re 0.000 0.500 0.500
Pt 0.500 0.249 0.000
Ni 0.657 0.000 0.750
Re 0.000 0.500 0.000
Pt 0.500 0.751 0.500
Pt 0.849 0.754 0.250
Pt 0.849 0.246 0.250
Ni 0.672 0.500 0.750
! * calculated formation energy: -0.09 eV per atom
! * space-group type: No. 51
! * DOS at the Fermi energy: 10.98 states/eV/f.u.



Entry 8:
! Nb2GaSe GGA-PBE optimized geometry; values from VASP
&SYSTEM
  ibrav = 0, nat = 8, ntyp = 3
/
ATOMIC_SPECIES
Nb 92.91 Nb.upf
Ga 69.72 Ga.upf
Se 78.96 Se.upf
CELL_PARAMETERS angstrom
5.442 0.000 0.000
0.000 5.442 0.000
2.721 2.721 6.574
ATOMIC_POSITIONS crystal
Nb 0.875 0.875 0.750
Ga 0.250 0.750 0.500
Nb 0.625 0.125 0.250
Nb 0.375 0.375 0.750
Se 0.750 0.250 0.500
Se 0.000 0.000 0.000
Nb 0.125 0.625 0.250
Ga 0.500 0.500 0.000
! * space-group type: No. 122
! * offset from the most stable computed form: 769 meV/atom
! * DOS at the Fermi energy: 6.52 states/eV/f.u.
! * E_form (uncorrected): 2.5 eV per formula unit



Let's list total energy in order: -78.92; -16.58; -32.90; -11.37; -30.87; -55.49; -109.37; -48.22 eV/cell.
Let's list total magnetic moment in order: 1.0; 0.0; 0.0; 1.0; 1.8; 0.0; 1.6; 0.0 μB/f.u..